Entry 1:
# Cr4TePt2 | Alexandria | GGA-PBE | relaxed
data_Cr4TePt2
_chemical_formula_sum 'Cr8 Te2 Pt4'
_cell_length_a 4.941
_cell_length_b 4.941
_cell_length_c 13.117
_cell_angle_alpha 90.00
_cell_angle_beta 90.00
_cell_angle_gamma 90.00
_space_group_name_H-M_alt 'P 1'
_space_group_IT_number 1
loop_
_space_group_symop_operation_xyz
'x,y,z'
loop_
_atom_site_label
_atom_site_type_symbol
_atom_site_fract_x
_atom_site_fract_y
_atom_site_fract_z
Cr1 Cr 0.000 0.000 0.207
Cr2 Cr 0.000 0.000 0.793
Cr3 Cr 0.000 0.500 0.000
Cr4 Cr 0.000 0.500 0.500
Cr5 Cr 0.500 0.000 0.000
Cr6 Cr 0.500 0.000 0.500
Cr7 Cr 0.500 0.500 0.293
Cr8 Cr 0.500 0.500 0.707
Te1 Te 0.000 0.000 0.000
Te2 Te 0.500 0.500 0.500
Pt1 Pt 0.000 0.000 0.398
Pt2 Pt 0.000 0.000 0.602
Pt3 Pt 0.500 0.500 0.102
Pt4 Pt 0.500 0.500 0.898
# - SG: I4/mmm (139)
# - Crystal system: tetragonal



Entry 2:
# CrTe2Pt | Alexandria | GGA-PBE | relaxed
data_CrTe2Pt
_chemical_formula_sum 'Cr1 Te2 Pt1'
_cell_length_a 4.785
_cell_length_b 4.785
_cell_length_c 3.553
_cell_angle_alpha 90.00
_cell_angle_beta 90.00
_cell_angle_gamma 90.00
_space_group_name_H-M_alt 'P 1'
_space_group_IT_number 1
loop_
_space_group_symop_operation_xyz
'x,y,z'
loop_
_atom_site_label
_atom_site_type_symbol
_atom_site_fract_x
_atom_site_fract_y
_atom_site_fract_z
Cr1 Cr 0.000 0.000 0.000
Te1 Te 0.000 0.500 0.500
Te2 Te 0.500 0.000 0.500
Pt1 Pt 0.500 0.500 0.000
# - SG: P4/mmm (123)
# - Relative energy among the computed polymorphs: 323 meV per atom
# - Crystal system: tetragonal



Entry 3:
# CrTe8Pt3 | Alexandria | GGA-PBE | relaxed
data_CrTe8Pt3
_chemical_formula_sum 'Cr1 Te8 Pt3'
_cell_length_a 6.832
_cell_length_b 6.832
_cell_length_c 8.918
_cell_angle_alpha 119.60
_cell_angle_beta 119.60
_cell_angle_gamma 72.99
_space_group_name_H-M_alt 'P 1'
_space_group_IT_number 1
loop_
_space_group_symop_operation_xyz
'x,y,z'
loop_
_atom_site_label
_atom_site_type_symbol
_atom_site_fract_x
_atom_site_fract_y
_atom_site_fract_z
Cr1 Cr 0.000 0.000 0.000
Te1 Te 0.206 0.706 0.166
Te2 Te 0.211 0.211 0.667
Te3 Te 0.292 0.292 0.333
Te4 Te 0.294 0.794 0.834
Te5 Te 0.706 0.206 0.166
Te6 Te 0.708 0.708 0.667
Te7 Te 0.789 0.789 0.333
Te8 Te 0.794 0.294 0.834
Pt1 Pt 0.000 0.500 0.500
Pt2 Pt 0.500 0.000 0.500
Pt3 Pt 0.500 0.500 0.000
# - SG: C2/m (12)
# - Crystal system: monoclinic



Entry 4:
# CrTe2Pt | Alexandria | GGA-PBE | relaxed
data_CrTe2Pt
_chemical_formula_sum 'Cr1 Te2 Pt1'
_cell_length_a 3.650
_cell_length_b 3.650
_cell_length_c 7.215
_cell_angle_alpha 90.00
_cell_angle_beta 90.00
_cell_angle_gamma 90.00
_space_group_name_H-M_alt 'P 1'
_space_group_IT_number 1
loop_
_space_group_symop_operation_xyz
'x,y,z'
loop_
_atom_site_label
_atom_site_type_symbol
_atom_site_fract_x
_atom_site_fract_y
_atom_site_fract_z
Cr1 Cr 0.000 0.000 0.000
Te1 Te 0.000 0.000 0.365
Te2 Te 0.500 0.500 0.844
Pt1 Pt 0.500 0.500 0.213
# - SG: P4mm (99)
# - Relative energy among the computed polymorphs: 53 meV per atom
# - Crystal system: tetragonal



no.,DOS(E_F) (states/eV/cell),calculated volume (Å³/cell),formation energy without anion corrections (eV per atom)
1,11.18,320.3,0.874
2,1.54,81.4,0.141
3,2.35,314.0,-0.343
4,2.13,96.1,-0.129